Model one:
SrV3Ag: relaxed, PBE.

The magnetic moment is 2.1182 μB/atom. The volume comes out at 26.71 Å³ per atom. As for the crystal system: cubic.

It has space group Pm-3m (No. 221), with a = 5.112 Å, b = 5.112 Å, c = 5.112 Å, α = 90.00°, β = 90.00° and γ = 90.00°. The asymmetric unit holds Sr at (0.000, 0.000, 0.000), V at (0.000, 0.500, 0.500) and Ag at (0.500, 0.500, 0.500).

Model two:
SrV3Ag: relaxed, PBE.

The magnetic moment is 0.0000 μB/atom. The volume comes out at 18.73 Å³ per atom. As for the crystal system: cubic.

It has space group Pm-3m (No. 221), with a = 4.541 Å, b = 4.541 Å, c = 4.541 Å, α = 90.00°, β = 90.00° and γ = 90.00°. The asymmetric unit holds Sr at (0.000, 0.000, 0.000), V at (0.000, 0.000, 0.500) and Ag at (0.500, 0.500, 0.500).

Stability ranking, top entry: model one; the second entry is 1.076 eV/atom less favorable.

Model one:
SrAgW2: relaxed, PBE.

The magnetic moment is 0.0000 μB/atom. The volume comes out at 22.37 Å³ per atom. As for the crystal system: orthorhombic.

It has space group Imm2 (No. 44), with a = 3.351 Å, b = 5.394 Å, c = 9.903 Å, α = 90.00°, β = 90.00° and γ = 90.00°. The asymmetric unit holds Sr at (0.000, 0.000, 0.000), Ag at (0.000, 0.500, 0.220), W at (0.000, 0.000, 0.467) and W at (0.000, 0.500, 0.789).

Model two:
SrAgW2: relaxed, PBE.

The magnetic moment is 0.0000 μB/atom. The volume comes out at 20.05 Å³ per atom. As for the crystal system: orthorhombic.

It has space group Cmmm (No. 65), with a = 5.603 Å, b = 10.453 Å, c = 2.739 Å, α = 90.00°, β = 90.00° and γ = 90.00°. The asymmetric unit holds Sr at (0.000, 0.000, 0.000), Ag at (0.000, 0.500, 0.000) and W at (0.250, 0.250, 0.500).

Model three:
SrAgW2: relaxed, PBE.

The magnetic moment is 0.0000 μB/atom. The volume comes out at 20.12 Å³ per atom. As for the crystal system: monoclinic.

It has space group C2/m (No. 12), with a = 12.404 Å, b = 2.799 Å, c = 5.071 Å, α = 90.00°, β = 113.93° and γ = 90.00°. The asymmetric unit holds Sr at (0.000, 0.000, 0.000), Ag at (0.000, 0.500, 0.500) and W at (0.226, 0.000, 0.726).

Stability ranking, top entry: model three; the second entry is 0.087 eV/atom less favorable.

Model one:
SrAg2W: relaxed, PBE.

The magnetic moment is 0.2290 μB/atom. The volume comes out at 20.78 Å³ per atom. As for the crystal system: monoclinic.

It has space group Cm (No. 8), with a = 11.138 Å, b = 2.904 Å, c = 5.437 Å, α = 90.00°, β = 109.02° and γ = 90.00°. The asymmetric unit holds Sr at (0.000, 0.000, 0.000), Ag at (0.262, 0.500, 0.149), Ag at (0.483, 0.000, 0.500) and W at (0.227, 0.000, 0.605).

Model two:
SrAg2W: relaxed, PBE.

The magnetic moment is 0.3418 μB/atom. The volume comes out at 20.89 Å³ per atom. As for the crystal system: tetragonal.

It has space group P4/mmm (No. 123), with a = 5.228 Å, b = 5.228 Å, c = 3.058 Å, α = 90.00°, β = 90.00° and γ = 90.00°. The asymmetric unit holds Sr at (0.000, 0.000, 0.000), Ag at (0.000, 0.500, 0.500) and W at (0.500, 0.500, 0.000).

Model three:
SrAg2W: relaxed, PBE.

The magnetic moment is 0.7231 μB/atom. The volume comes out at 22.19 Å³ per atom. As for the crystal system: tetragonal.

It has space group I-4m2 (No. 119), with a = 4.343 Å, b = 4.343 Å, c = 9.412 Å, α = 90.00°, β = 90.00° and γ = 90.00°. The asymmetric unit holds Sr at (0.000, 0.000, 0.000), Ag at (0.000, 0.000, 0.500), Ag at (0.000, 0.500, 0.750) and W at (0.000, 0.500, 0.250).

Stability ranking, top entry: model two; the second entry is 0.010 eV/atom less favorable.

Model one:
SrAgW: relaxed, PBE.

The magnetic moment is 1.4002 μB/atom. The volume comes out at 29.07 Å³ per atom. As for the crystal system: cubic.

It has space group F-43m (No. 216), with a = 7.040 Å, b = 7.040 Å, c = 7.040 Å, α = 90.00°, β = 90.00° and γ = 90.00°. The asymmetric unit holds Sr at (0.000, 0.000, 0.000), Ag at (0.250, 0.250, 0.750) and W at (0.000, 0.000, 0.500).

Model two:
SrAgW: relaxed, PBE.

The magnetic moment is 1.5866 μB/atom. The volume comes out at 33.23 Å³ per atom. As for the crystal system: cubic.

It has space group F-43m (No. 216), with a = 7.360 Å, b = 7.360 Å, c = 7.360 Å, α = 90.00°, β = 90.00° and γ = 90.00°. The asymmetric unit holds Sr at (0.000, 0.000, 0.000), Ag at (0.250, 0.250, 0.750) and W at (0.250, 0.250, 0.250).

Model three:
SrAgW: relaxed, PBE.

The magnetic moment is 0.0000 μB/atom. The volume comes out at 21.33 Å³ per atom. As for the crystal system: trigonal.

It has space group P3m1 (No. 156), with a = 3.0512 Å, b = 3.0512 Å, c = 7.9363 Å, α = 90.00°, β = 90.00° and γ = 120.00°. The asymmetric unit holds Sr at (0.0000, 0.0000, 0.0000), Ag at (0.6667, 0.3333, 0.6382) and W at (0.3333, 0.6667, 0.3418).

Stability ranking, top entry: model three; the second entry is 0.373 eV/atom less favorable.